No. 1
Crystalline MgNbOsO6 at its relaxed geometry. Source: Alexandria via LeMat-Bulk, functional GGA-PBE. Values from VASP.

Uncorrected formation energy in eV per atom: -1.92
Crystal system: tetragonal
Size of the total moment in μB/atom: 0.11
Raw total energy in eV/atom: -7.764

```
&SYSTEM
  ibrav = 0, nat = 18, ntyp = 4
/
ATOMIC_SPECIES
O 16.00 O.upf
Mg 24.30 Mg.upf
Os 190.23 Os.upf
Nb 92.91 Nb.upf
CELL_PARAMETERS angstrom
4.745 0.000 0.000
0.000 4.745 0.000
0.000 0.000 9.128
ATOMIC_POSITIONS crystal
O 0.706 0.706 0.998
O 0.795 0.205 0.179
O 0.295 0.295 0.679
O 0.205 0.795 0.179
O 0.206 0.794 0.498
O 0.783 0.217 0.828
O 0.705 0.705 0.679
O 0.794 0.206 0.498
O 0.217 0.783 0.828
O 0.283 0.283 0.328
O 0.294 0.294 0.998
O 0.717 0.717 0.328
Mg 0.000 0.000 0.001
Mg 0.500 0.500 0.501
Os 0.000 0.000 0.336
Os 0.500 0.500 0.836
Nb 0.500 0.500 0.152
Nb 0.000 0.000 0.652
```

---

No. 2
Crystalline La2SiCl at its relaxed geometry. Source: Alexandria via LeMat-Bulk, functional GGA-PBE. Values from VASP.

Uncorrected formation energy in eV per atom: -0.76
Crystal system: tetragonal
Excess energy over the best structure of this formula in the dataset in kJ per mole of atoms: 47.64
Size of the total moment in μB/atom: 0.21
Raw total energy in eV/atom: -5.046

```
&SYSTEM
  ibrav = 0, nat = 8, ntyp = 3
/
ATOMIC_SPECIES
Cl 35.45 Cl.upf
La 138.91 La.upf
Si 28.09 Si.upf
CELL_PARAMETERS angstrom
6.413 0.000 0.000
0.000 6.413 0.000
3.206 3.206 7.196
ATOMIC_POSITIONS crystal
Cl 0.000 0.000 0.000
Cl 0.750 0.250 0.500
La 0.875 0.866 0.750
La 0.616 0.125 0.250
La 0.375 0.384 0.750
La 0.134 0.625 0.250
Si 0.500 0.500 0.000
Si 0.250 0.750 0.500
```